1.
Below is a relaxed structure of ScTa2Cl, with properties calculated at the PBE level.

Cell lengths 5.0061, 5.0061, 5.6340 Å; angles 110.62, 110.62, 34.97 degrees
Element x y z (fractional)
Sc (0.0000, 0.0000, 0.0000)
Ta (0.5900, 0.5900, 0.5487)
Ta (0.8237, 0.8237, 0.3657)
Cl (0.2609, 0.2609, 0.9432)

Computed properties:
- symmetry = No. 8
- energy relative to the lowest polymorph listed for this composition (meV per atom) = 292
- magnetic moment (μB/f.u.) = 0.00
- formation energy without anion corrections (kJ/mol of formula units) = 37

2.
Below is a relaxed structure of RbMg14Al, with properties calculated at the PBE level.

Cell lengths 10.4885, 6.4582, 6.4582 Å; angles 64.46, 90.00, 90.00 degrees
Element x y z (fractional)
Rb (0.0000, 0.0000, 0.0000)
Mg (0.0000, 0.5115, 0.9588)
Mg (0.0000, 0.9588, 0.5115)
Mg (0.2388, 0.2985, 0.2985)
Mg (0.2609, 0.3175, 0.7821)
Mg (0.2609, 0.7821, 0.3175)
Mg (0.2634, 0.7996, 0.7996)
Mg (0.5000, 0.4718, 0.9820)
Mg (0.5000, 0.4728, 0.4728)
Mg (0.5000, 0.9784, 0.9784)
Mg (0.5000, 0.9820, 0.4718)
Mg (0.7366, 0.7996, 0.7996)
Mg (0.7391, 0.3175, 0.7821)
Mg (0.7391, 0.7821, 0.3175)
Mg (0.7612, 0.2985, 0.2985)
Al (0.0000, 0.4783, 0.4783)

Computed properties:
- DFT formation energy (eV/f.u.) = 2.228
- symmetry = No. 38
- energy relative to the lowest polymorph listed for this composition (meV per atom) = 0
- magnetic moment (μB/f.u.) = 0.00

3.
Below is a relaxed structure of LaNd4Sm10, with properties calculated at the PBE level.

Cell lengths 8.9618, 8.9618, 8.9618 Å; angles 112.30, 112.30, 103.95 degrees
Element x y z (fractional)
La (0.0000, 0.0000, 0.0000)
Nd (0.2151, 0.4440, 0.6591)
Nd (0.4440, 0.7849, 0.2289)
Nd (0.5560, 0.2151, 0.7711)
Nd (0.7849, 0.5560, 0.3409)
Sm (0.0484, 0.3905, 0.0998)
Sm (0.0514, 0.9516, 0.3421)
Sm (0.2500, 0.7500, 0.5000)
Sm (0.2907, 0.9486, 0.9002)
Sm (0.3905, 0.2907, 0.3421)
Sm (0.6095, 0.7093, 0.6579)
Sm (0.7093, 0.0514, 0.0998)
Sm (0.7500, 0.2500, 0.5000)
Sm (0.9486, 0.0484, 0.6579)
Sm (0.9516, 0.6095, 0.9002)

Computed properties:
- DFT formation energy (eV/f.u.) = 6.147
- symmetry = No. 87
- magnetic moment (μB/f.u.) = 0.00

4.
Below is a relaxed structure of Er2Tm2Pd, with properties calculated at the PBE level.

Cell lengths 6.9478, 6.9478, 7.3730 Å; angles 104.67, 104.67, 114.35 degrees
Element x y z (fractional)
Er (0.2409, 0.2409, 0.1171)
Er (0.2529, 0.2529, 0.6090)
Er (0.7471, 0.7471, 0.3910)
Er (0.7591, 0.7591, 0.8829)
Tm (0.1870, 0.7547, 0.2499)
Tm (0.2453, 0.8130, 0.7501)
Tm (0.7547, 0.1870, 0.2499)
Tm (0.8130, 0.2453, 0.7501)
Pd (0.3778, 0.6222, 0.0000)
Pd (0.6222, 0.3778, 0.0000)

Computed properties:
- DFT formation energy (eV/f.u.) = -1.325
- symmetry = No. 12
- magnetic moment (μB/f.u.) = 0.00

5.
Below is a relaxed structure of AgMoPd2, with properties calculated at the PBE level.

Cell lengths 5.7670, 5.7670, 5.7670 Å; angles 103.41, 103.41, 122.43 degrees
Element x y z (fractional)
Ag (0.0000, 0.0000, 0.0000)
Ag (0.7500, 0.2500, 0.5000)
Mo (0.2500, 0.7500, 0.5000)
Mo (0.5000, 0.5000, 0.0000)
Pd (0.1485, 0.6250, 0.0235)
Pd (0.3750, 0.3985, 0.5235)
Pd (0.6015, 0.1250, 0.9765)
Pd (0.8750, 0.8515, 0.4765)

Computed properties:
- DFT formation energy (eV/f.u.) = 2.519
- symmetry = No. 122
- energy relative to the lowest polymorph listed for this composition (meV per atom) = 685
- magnetic moment (μB/f.u.) = 0.00

6.
Below is a relaxed structure of NbAlSn2, with properties calculated at the PBE level.

Cell lengths 6.2716, 6.2716, 6.2716 Å; angles 102.46, 102.46, 124.65 degrees
Element x y z (fractional)
Nb (0.0000, 0.0000, 0.0000)
Nb (0.7500, 0.2500, 0.5000)
Al (0.2500, 0.7500, 0.5000)
Al (0.5000, 0.5000, 0.0000)
Sn (0.1278, 0.6250, 0.0028)
Sn (0.3750, 0.3778, 0.5028)
Sn (0.6222, 0.1250, 0.9972)
Sn (0.8750, 0.8722, 0.4972)

Computed properties:
- DFT formation energy (eV/f.u.) = 1.600
- symmetry = No. 122
- magnetic moment (μB/f.u.) = 0.00

7.
Below is a relaxed structure of RbMgN3, with properties calculated at the PBE level.

Cell lengths 4.3403, 4.3403, 4.3403 Å; angles 90.00, 90.00, 90.00 degrees
Element x y z (fractional)
Rb (0.0000, 0.0000, 0.0000)
Mg (0.5000, 0.5000, 0.5000)
N (0.0000, 0.0000, 0.5000)
N (0.0000, 0.5000, 0.0000)
N (0.5000, 0.0000, 0.0000)

Computed properties:
- symmetry = No. 221
- magnetic moment (μB/f.u.) = 2.77
- formation energy without anion corrections (kJ/mol of formula units) = 1393

8.
Below is a relaxed structure of AcMgIr2, with properties calculated at the PBE level.

Cell lengths 3.4386, 3.4386, 6.8936 Å; angles 90.00, 90.00, 90.00 degrees
Element x y z (fractional)
Ac (0.0000, 0.0000, 0.0000)
Mg (0.0000, 0.0000, 0.5000)
Ir (0.5000, 0.5000, 0.2948)
Ir (0.5000, 0.5000, 0.7052)

Computed properties:
- DFT formation energy (eV/f.u.) = -0.777
- symmetry = No. 123
- magnetic moment (μB/f.u.) = 0.00

9.
Below is a relaxed structure of Pm2HoAl, with properties calculated at the PBE level.

Cell lengths 5.4260, 5.4260, 5.4260 Å; angles 60.00, 60.00, 60.00 degrees
Element x y z (fractional)
Pm (0.2500, 0.2500, 0.2500)
Pm (0.7500, 0.7500, 0.7500)
Ho (0.0000, 0.0000, 0.0000)
Al (0.5000, 0.5000, 0.5000)

Computed properties:
- DFT formation energy (eV/f.u.) = -0.250
- symmetry = No. 225
- energy relative to the lowest polymorph listed for this composition (meV per atom) = 122
- magnetic moment (μB/f.u.) = 0.00

10.
Below is a relaxed structure of TbTh4Sc7, with properties calculated at the PBE level.

Cell lengths 6.3631, 6.3631, 12.0329 Å; angles 113.92, 113.92, 51.81 degrees
Element x y z (fractional)
Tb (0.0000, 0.0000, 0.0000)
Th (0.1494, 0.1494, 0.7717)
Th (0.4085, 0.4085, 0.7056)
Th (0.5915, 0.5915, 0.2944)
Th (0.8506, 0.8506, 0.2283)
Sc (0.1280, 0.1280, 0.4867)
Sc (0.2924, 0.2924, 0.0837)
Sc (0.3339, 0.3339, 0.3735)
Sc (0.5000, 0.5000, 0.0000)
Sc (0.6661, 0.6661, 0.6265)
Sc (0.7076, 0.7076, 0.9163)
Sc (0.8720, 0.8720, 0.5133)

Computed properties:
- DFT formation energy (eV/f.u.) = 3.272
- symmetry = No. 12
- magnetic moment (μB/f.u.) = 0.00

11.
Below is a relaxed structure of Ba2CdCl2O2, with properties calculated at the PBE level.

Cell lengths 8.6385, 8.6385, 8.6385 Å; angles 149.97, 149.97, 42.98 degrees
Element x y z (fractional)
Ba (0.1106, 0.1106, 0.0000)
Ba (0.8894, 0.8894, 0.0000)
Cd (0.5000, 0.5000, 0.0000)
Cl (0.3172, 0.3172, 0.0000)
Cl (0.6828, 0.6828, 0.0000)
O (0.0000, 0.5000, 0.5000)
O (0.5000, 0.0000, 0.5000)

Computed properties:
- symmetry = No. 139
- magnetic moment (μB/f.u.) = 0.00
- formation energy without anion corrections (kJ/mol of formula units) = -1441

12.
Below is a relaxed structure of TbYThAl, with properties calculated at the PBE level.

Cell lengths 5.3933, 5.3933, 5.3933 Å; angles 60.00, 60.00, 60.00 degrees
Element x y z (fractional)
Tb (0.0000, 0.0000, 0.0000)
Y (0.7500, 0.7500, 0.7500)
Th (0.2500, 0.2500, 0.2500)
Al (0.5000, 0.5000, 0.5000)

Computed properties:
- DFT formation energy (eV/f.u.) = -0.090
- symmetry = No. 216
- magnetic moment (μB/f.u.) = 0.00

13.
Below is a relaxed structure of RhAuSN2, with properties calculated at the PBE level.

Cell lengths 3.7377, 3.7377, 5.5921 Å; angles 90.00, 90.00, 90.00 degrees
Element x y z (fractional)
Rh (0.0000, 0.0000, 0.0000)
Au (0.5000, 0.5000, 0.5000)
S (0.0000, 0.0000, 0.5000)
N (0.0000, 0.5000, 0.0000)
N (0.5000, 0.0000, 0.0000)

Computed properties:
- symmetry = No. 123
- energy relative to the lowest polymorph listed for this composition (meV per atom) = 0
- magnetic moment (μB/f.u.) = 0.43
- formation energy without anion corrections (kJ/mol of formula units) = 541

14.
Below is a relaxed structure of Zn2CoSi, with properties calculated at the PBE level.

Cell lengths 6.4269, 6.4269, 6.4269 Å; angles 157.19, 145.94, 41.39 degrees
Element x y z (fractional)
Zn (0.1853, 0.1853, 0.0000)
Zn (0.8147, 0.8147, 0.0000)
Co (0.0000, 0.5000, 0.5000)
Si (0.5000, 0.0000, 0.5000)

Computed properties:
- symmetry = No. 71
- magnetic moment (μB/f.u.) = 0.00
- formation energy without anion corrections (kJ/mol of formula units) = -64

15.
Below is a relaxed structure of SmHoP2, with properties calculated at the PBE level.

Cell lengths 7.0051, 7.0051, 7.0051 Å; angles 33.61, 33.61, 33.61 degrees
Element x y z (fractional)
Sm (0.0000, 0.0000, 0.0000)
Ho (0.5000, 0.5000, 0.5000)
P (0.2475, 0.2475, 0.2475)
P (0.7525, 0.7525, 0.7525)

Computed properties:
- DFT formation energy (eV/f.u.) = -6.358
- symmetry = No. 166
- energy relative to the lowest polymorph listed for this composition (meV per atom) = 0
- magnetic moment (μB/f.u.) = 0.00

16.
Below is a relaxed structure of LiInBr4, with properties calculated at the PBE level.

Cell lengths 6.5766, 6.5766, 6.5766 Å; angles 60.00, 60.00, 60.00 degrees
Element x y z (fractional)
Li (0.0000, 0.0000, 0.0000)
In (0.2500, 0.2500, 0.2500)
Br (0.1252, 0.6249, 0.6249)
Br (0.6249, 0.1252, 0.6249)
Br (0.6249, 0.6249, 0.1252)
Br (0.6249, 0.6249, 0.6249)

Computed properties:
- symmetry = No. 216
- energy relative to the lowest polymorph listed for this composition (meV per atom) = 964
- magnetic moment (μB/f.u.) = 2.00
- formation energy without anion corrections (kJ/mol of formula units) = -52

17.
Below is a relaxed structure of Pm2TlHg, with properties calculated at the PBE level.

Cell lengths 3.8234, 3.8234, 7.8182 Å; angles 90.00, 90.00, 90.00 degrees
Element x y z (fractional)
Pm (0.0000, 0.0000, 0.2415)
Pm (0.0000, 0.0000, 0.7585)
Tl (0.5000, 0.5000, 0.5000)
Hg (0.5000, 0.5000, 0.0000)

Computed properties:
- DFT formation energy (eV/f.u.) = -1.717
- symmetry = No. 123
- magnetic moment (μB/f.u.) = 0.80

18.
Below is a relaxed structure of CaCdHg2, with properties calculated at the PBE level.

Cell lengths 3.7683, 3.7976, 7.0779 Å; angles 90.00, 90.00, 90.00 degrees
Element x y z (fractional)
Ca (0.0000, 0.0000, 0.0000)
Cd (0.0000, 0.0000, 0.5000)
Hg (0.5000, 0.5000, 0.2622)
Hg (0.5000, 0.5000, 0.7378)

Computed properties:
- DFT formation energy (eV/f.u.) = -1.307
- symmetry = No. 47
- magnetic moment (μB/f.u.) = 0.00

19.
Below is a relaxed structure of Ba8N3Cl4O, with properties calculated at the PBE level.

Cell lengths 8.9754, 8.9754, 8.9754 Å; angles 54.76, 54.76, 54.76 degrees
Element x y z (fractional)
Ba (0.2291, 0.7334, 0.7334)
Ba (0.2333, 0.2333, 0.2333)
Ba (0.2666, 0.2666, 0.7709)
Ba (0.2666, 0.7709, 0.2666)
Ba (0.7334, 0.2291, 0.7334)
Ba (0.7334, 0.7334, 0.2291)
Ba (0.7667, 0.7667, 0.7667)
Ba (0.7709, 0.2666, 0.2666)
N (0.0000, 0.0000, 0.5000)
N (0.0000, 0.5000, 0.0000)
N (0.5000, 0.0000, 0.0000)
Cl (0.0000, 0.0000, 0.0000)
Cl (0.0000, 0.5000, 0.5000)
Cl (0.5000, 0.0000, 0.5000)
Cl (0.5000, 0.5000, 0.0000)
O (0.5000, 0.5000, 0.5000)

Computed properties:
- symmetry = No. 166
- magnetic moment (μB/f.u.) = 0.00
- formation energy without anion corrections (kJ/mol of formula units) = -2343

20.
Below is a relaxed structure of MgPb2W, with properties calculated at the PBE level.

Cell lengths 7.7637, 7.7637, 7.7637 Å; angles 128.69, 128.69, 75.50 degrees
Element x y z (fractional)
Mg (0.0000, 0.0000, 0.0000)
Mg (0.7500, 0.2500, 0.5000)
Pb (0.1629, 0.6250, 0.0379)
Pb (0.3750, 0.4129, 0.5379)
Pb (0.5871, 0.1250, 0.9621)
Pb (0.8750, 0.8371, 0.4621)
W (0.2500, 0.7500, 0.5000)
W (0.5000, 0.5000, 0.0000)

Computed properties:
- DFT formation energy (eV/f.u.) = 5.160
- symmetry = No. 122
- magnetic moment (μB/f.u.) = 0.00

21.
Below is a relaxed structure of CoSbRu2, with properties calculated at the PBE level.

Cell lengths 2.9208, 2.9208, 6.9939 Å; angles 90.00, 90.00, 90.00 degrees
Element x y z (fractional)
Co (0.0000, 0.0000, 0.0000)
Sb (0.5000, 0.5000, 0.7584)
Ru (0.0000, 0.0000, 0.4785)
Ru (0.5000, 0.5000, 0.2381)

Computed properties:
- symmetry = No. 99
- magnetic moment (μB/f.u.) = 0.84
- formation energy without anion corrections (kJ/mol of formula units) = 132

22.
Below is a relaxed structure of PuPaNb2, with properties calculated at the PBE level.

Cell lengths 11.0444, 11.0444, 11.0444 Å; angles 15.74, 15.74, 15.74 degrees
Element x y z (fractional)
Pu (0.0000, 0.0000, 0.0000)
Pa (0.5000, 0.5000, 0.5000)
Nb (0.2517, 0.2517, 0.2517)
Nb (0.7483, 0.7483, 0.7483)

Computed properties:
- DFT formation energy (eV/f.u.) = 1.494
- symmetry = No. 166
- energy relative to the lowest polymorph listed for this composition (meV per atom) = 65
- magnetic moment (μB/f.u.) = 5.14

23.
Below is a relaxed structure of NdSiHPt2, with properties calculated at the PBE level.

Cell lengths 5.8488, 5.8488, 7.1783 Å; angles 90.00, 90.00, 140.34 degrees
Element x y z (fractional)
Nd (0.0545, 0.9455, 0.7500)
Nd (0.9455, 0.0545, 0.2500)
Si (0.2268, 0.7732, 0.2500)
Si (0.7732, 0.2268, 0.7500)
H (0.5000, 0.5000, 0.0000)
H (0.5000, 0.5000, 0.5000)
Pt (0.3372, 0.6628, 0.5541)
Pt (0.3372, 0.6628, 0.9459)
Pt (0.6628, 0.3372, 0.0541)
Pt (0.6628, 0.3372, 0.4459)

Computed properties:
- energy (eV/atom) = -6.061
- symmetry = No. 63
- magnetic moment (μB/f.u.) = 0.00

24.
Below is a relaxed structure of La6Pr8In, with properties calculated at the PBE level.

Cell lengths 9.6039, 9.6039, 6.7845 Å; angles 90.00, 90.00, 120.00 degrees
Element x y z (fractional)
La (0.0897, 0.6480, 0.1672)
La (0.3520, 0.4417, 0.1672)
La (0.4417, 0.0897, 0.8328)
La (0.5583, 0.9103, 0.1672)
La (0.6480, 0.5583, 0.8328)
La (0.9103, 0.3520, 0.8328)
Pr (0.0419, 0.7742, 0.6797)
Pr (0.2258, 0.2677, 0.6797)
Pr (0.2677, 0.0419, 0.3203)
Pr (0.3333, 0.6667, 0.6287)
Pr (0.6667, 0.3333, 0.3713)
Pr (0.7323, 0.9581, 0.6797)
Pr (0.7742, 0.7323, 0.3203)
Pr (0.9581, 0.2258, 0.3203)
In (0.0000, 0.0000, 0.0000)

Computed properties:
- DFT formation energy (eV/f.u.) = 0.530
- symmetry = No. 147
- magnetic moment (μB/f.u.) = 0.00

25.
Below is a relaxed structure of KLiTmBr5, with properties calculated at the PBE level.

Cell lengths 7.8190, 7.8190, 10.4728 Å; angles 103.49, 103.49, 107.77 degrees
Element x y z (fractional)
K (0.1513, 0.8487, 0.7500)
K (0.8487, 0.1513, 0.2500)
Li (0.1918, 0.8082, 0.2500)
Li (0.8082, 0.1918, 0.7500)
Tm (0.5000, 0.5000, 0.0000)
Tm (0.5000, 0.5000, 0.5000)
Br (0.1275, 0.2555, 0.9300)
Br (0.1911, 0.5863, 0.3918)
Br (0.2555, 0.1275, 0.4300)
Br (0.4137, 0.8089, 0.1082)
Br (0.4207, 0.5793, 0.7500)
Br (0.5793, 0.4207, 0.2500)
Br (0.5863, 0.1911, 0.8918)
Br (0.7445, 0.8725, 0.5700)
Br (0.8089, 0.4137, 0.6082)
Br (0.8725, 0.7445, 0.0700)

Computed properties:
- symmetry = No. 15
- magnetic moment (μB/f.u.) = 0.00
- formation energy without anion corrections (kJ/mol of formula units) = -1355